[1]
{"formula": "Y5MgCu", "functional": "PBE-GGA", "state": "relaxed", "lattice": [[-3.459, 1.744, 3.460], [1.668, -3.515, 3.440], [5.144, 5.006, 2.620]], "species": ["Y", "Y", "Y", "Y", "Y", "Mg", "Cu"], "fractional_positions": [[0.500, 0.500, 0.000], [0.000, 0.500, 0.742], [0.000, 0.500, 0.258], [0.500, 0.000, 0.258], [0.500, 0.000, 0.742], [0.500, 0.500, 0.500], [0.000, 0.000, 0.000]], "e_form_ev_per_atom": 0.22, "energy_ev_per_fu": -36.499, "e_above_lowest_polymorph_mev_per_atom": 185.5}

[2]
{"formula": "La2EuTl", "functional": "PBE-GGA", "state": "relaxed", "lattice": [[-1.517, 1.409, -4.555], [-4.892, -0.457, 1.488], [0.003, 4.904, 1.516]], "species": ["Tl", "Eu", "La", "La"], "fractional_positions": [[0.500, 0.000, 0.000], [0.500, 0.500, 0.500], [0.000, 0.500, 0.000], [0.000, 0.000, 0.500]], "e_form_ev_per_atom": -0.20, "energy_ev_per_fu": -23.304, "e_above_lowest_polymorph_mev_per_atom": 0.0}

[3]
{"formula": "K3Tb2PbO6", "functional": "PBE-GGA", "state": "relaxed", "lattice": [[-1.228, 1.613, -5.783], [-3.976, -3.460, 3.125], [-1.162, 5.807, 2.948]], "species": ["O", "O", "O", "O", "O", "O", "K", "K", "K", "Tb", "Tb", "Pb"], "fractional_positions": [[0.587, 0.936, 0.807], [0.716, 0.716, 0.193], [0.413, 0.064, 0.193], [0.064, 0.413, 0.193], [0.936, 0.587, 0.807], [0.284, 0.284, 0.807], [0.837, 0.163, 0.500], [0.163, 0.837, 0.500], [0.500, 0.500, 0.500], [0.333, 0.667, 0.000], [0.667, 0.333, 0.000], [0.000, 0.000, 0.000]], "formation_energy_uncorrected_ev_per_atom": -2.20, "energy_ev_per_fu": -72.367}

[4]
{"formula": "Pu2ScMn", "functional": "PBE-GGA", "state": "relaxed", "lattice": [[3.243, 0.000, 0.000], [1.622, 2.809, 0.000], [1.622, 0.936, 9.785]], "species": ["Pu", "Pu", "Sc", "Mn"], "fractional_positions": [[0.260, 0.260, 0.219], [0.740, 0.740, 0.781], [0.500, 0.500, 0.500], [0.000, 0.000, 0.000]], "e_form_ev_per_atom": 0.26, "energy_ev_per_fu": -43.113, "e_above_lowest_polymorph_mev_per_atom": 139.0}